# 1
Density functional theory data (PBE) for PmH2Cl after structural relaxation.

Values from the calculation:
Final energy ... -0.3211 Ry per atom
Magnetic moment ... 0.0 μB per cell

Unit cell a=3.8174 b=3.8174 c=13.9325 alpha=90.00 beta=90.00 gamma=120.00
Space group R-3m (No. 166, hexagonal axes)
Symmetry-distinct sites (fractional):
Pm 0.0000 0.0000 0.0000
H 0.0000 0.0000 0.3019
Cl 0.0000 0.0000 0.5000

=====

# 2
Density functional theory data (PBE) for BeNbSeBr2 after structural relaxation.

Values from the calculation:
Uncorrected formation energy ... 26.6 kJ per mole of atoms
Magnetic moment ... 0.0 μB per cell

Unit cell a=5.239 b=5.239 c=5.018 alpha=90.00 beta=90.00 gamma=90.00
Space group P4/mmm (No. 123)
Symmetry-distinct sites (fractional):
Be 0.000 0.000 0.000
Nb 0.500 0.500 0.500
Se 0.500 0.500 0.000
Br 0.000 0.500 0.500

=====

# 3
Density functional theory data (PBE) for CdSbP2Pb after structural relaxation.

Values from the calculation:
Uncorrected formation energy ... 106.6 kJ per mole of atoms
Magnetic moment ... 0.0 μB per cell

Unit cell a=5.246 b=5.246 c=5.421 alpha=90.00 beta=90.00 gamma=90.00
Space group P4/mmm (No. 123)
Symmetry-distinct sites (fractional):
Cd 0.000 0.000 0.000
Sb 0.500 0.500 0.000
P 0.000 0.500 0.500
Pb 0.000 0.000 0.500

=====

magnetic moment of number 1 (PmH2Cl)?
0.0 μB per cell